w:
The following is a PBE calculation of crystalline Hf2ZrZnH at its relaxed geometry, from the Alexandria database.

Cell lengths 4.3243, 4.3243, 4.4406 Å; angles 90.00, 90.00, 90.00 degrees
Fractional positions:
1 Hf 0.0000 0.5000 0.0000
2 Hf 0.5000 0.0000 0.0000
3 Zr 0.0000 0.0000 0.5000
4 Zn 0.5000 0.5000 0.5000
5 H 0.5000 0.5000 0.0000



x:
The following is a PBE calculation of crystalline Hf2ZrZnH at its relaxed geometry, from the Alexandria database.

Cell lengths 4.3522, 4.3522, 4.3734 Å; angles 90.00, 90.00, 90.00 degrees
Fractional positions:
1 Hf 0.0000 0.5000 0.0000
2 Hf 0.5000 0.0000 0.0000
3 Zr 0.0000 0.0000 0.5000
4 Zn 0.5000 0.5000 0.5000
5 H 0.0000 0.0000 0.0000



Relative energy table, unit meV/atom: w 92; x 0



w:
The following is a PBE calculation of crystalline Hf2ZrH2 at its relaxed geometry, from the Alexandria database.

Cell lengths 7.5388, 7.5388, 7.5388 Å; angles 155.56, 155.56, 34.84 degrees
Fractional positions:
1 Hf 0.1563 0.1563 0.0000
2 Hf 0.8437 0.8437 0.0000
3 Zr 0.5000 0.5000 0.0000
4 H 0.2500 0.7500 0.5000
5 H 0.7500 0.2500 0.5000



x:
The following is a PBE calculation of crystalline Hf2ZrH2 at its relaxed geometry, from the Alexandria database.

Cell lengths 3.1684, 3.1046, 7.8743 Å; angles 90.00, 101.53, 90.00 degrees
Fractional positions:
1 Hf 0.0000 0.0000 0.0000
2 Hf 0.3406 0.5000 0.6828
3 Zr 0.6637 0.5000 0.3260
4 H 0.0832 0.5000 0.1650
5 H 0.4205 0.0000 0.8403



Relative energy table, unit meV/atom: w 0; x 133



w:
The following is a PBE calculation of crystalline Hf4ZrH5 at its relaxed geometry, from the Alexandria database.

Cell lengths 3.3070, 3.3070, 13.6424 Å; angles 96.88, 96.88, 60.06 degrees
Fractional positions:
1 Hf 0.0000 0.0000 0.0000
2 Hf 0.2010 0.2010 0.6033
3 Hf 0.6004 0.6004 0.8018
4 Hf 0.8015 0.8015 0.4048
5 Zr 0.4006 0.4006 0.2023
6 H 0.0494 0.0494 0.1491
7 H 0.2506 0.2506 0.7525
8 H 0.4512 0.4512 0.3542
9 H 0.6505 0.6505 0.9517
10 H 0.8510 0.8510 0.5536



x:
The following is a PBE calculation of crystalline Hf4ZrH5 at its relaxed geometry, from the Alexandria database.

Cell lengths 5.5298, 5.5298, 5.5298 Å; angles 100.14, 100.14, 130.39 degrees
Fractional positions:
1 Hf 0.0978 0.6985 0.7963
2 Hf 0.3015 0.0978 0.3993
3 Hf 0.6985 0.9022 0.6007
4 Hf 0.9022 0.3015 0.2037
5 Zr 0.5000 0.5000 0.0000
6 H 0.0000 0.0000 0.0000
7 H 0.1991 0.4000 0.5991
8 H 0.4000 0.8009 0.2008
9 H 0.6000 0.1991 0.7992
10 H 0.8009 0.6000 0.4009



Relative energy table, unit meV/atom: w 0; x 66



w:
The following is a PBE calculation of crystalline HfZrH3 at its relaxed geometry, from the Alexandria database.

Cell lengths 3.7378, 3.7378, 3.7378 Å; angles 90.00, 90.00, 90.00 degrees
Fractional positions:
1 Hf 0.0000 0.0000 0.0000
2 Zr 0.5000 0.5000 0.5000
3 H 0.0000 0.0000 0.5000
4 H 0.0000 0.5000 0.0000
5 H 0.5000 0.0000 0.0000



x:
The following is a PBE calculation of crystalline HfZrH3 at its relaxed geometry, from the Alexandria database.

Cell lengths 3.7517, 3.7517, 3.7517 Å; angles 90.00, 90.00, 90.00 degrees
Fractional positions:
1 Hf 0.0000 0.0000 0.0000
2 Zr 0.5000 0.5000 0.5000
3 H 0.0000 0.5000 0.5000
4 H 0.5000 0.0000 0.5000
5 H 0.5000 0.5000 0.0000



y:
The following is a PBE calculation of crystalline HfZrH3 at its relaxed geometry, from the Alexandria database.

Cell lengths 5.8961, 5.8961, 4.6199 Å; angles 112.99, 112.99, 45.39 degrees
Fractional positions:
1 Hf 0.1089 0.1089 0.3590
2 Hf 0.8911 0.8911 0.6410
3 Zr 0.3840 0.3840 0.1340
4 Zr 0.6160 0.6160 0.8660
5 H 0.0001 0.5000 0.2617
6 H 0.9999 0.5000 0.7383
7 H 0.4115 0.4115 0.6629
8 H 0.5000 0.0001 0.2617
9 H 0.5000 0.9999 0.7383
10 H 0.5885 0.5885 0.3371



Relative energy table, unit meV/atom: w 268; x 318; y 0